Cd5SnAu3: optimized geometry, PBE.

Geometry as CIF:
```
data_Cd5SnAu3
_cell_length_a 9.8417
_cell_length_b 9.0175
_cell_length_c 10.4270
_cell_angle_alpha 90.00
_cell_angle_beta 99.67
_cell_angle_gamma 90.00
_space_group_name_H-M_alt 'C 1 2/m 1'
_space_group_IT_number 12
loop_
_space_group_symop_operation_xyz
'x,y,z'
'-x,-y,-z'
'-x,y,-z'
'x,-y,z'
'x+1/2,y+1/2,z'
'-x+1/2,-y+1/2,-z'
'-x+1/2,y+1/2,-z'
'x+1/2,-y+1/2,z'
loop_
_atom_site_label
_atom_site_type_symbol
_atom_site_fract_x
_atom_site_fract_y
_atom_site_fract_z
Cd1 Cd 0.0000 0.1916 0.0000
Cd2 Cd 0.0274 0.0000 0.3499
Cd3 Cd 0.2154 0.2976 0.6391
Cd4 Cd 0.2165 0.0000 0.8709
Sn1 Sn 0.0101 0.5000 0.7534
Au1 Au 0.0000 0.5000 0.0000
Au2 Au 0.0000 0.5000 0.5000
Au3 Au 0.1973 0.0000 0.1451
Au4 Au 0.2376 0.0000 0.5886
```

Results
ΔE to the lowest computed polymorph = 14.2 kJ/mol of atoms
Volume = 25.34 Å³ per atom
Formation enthalpy at 0 K = -25.5 meV per atom